(1)
Computed, not measured: an optimized crystal structure of Hf2ZrZnSn at the PBE level of DFT.

Cell: 5.2268 5.2268 5.2733 Å, 90.00 90.00 90.00°
Closest atoms and distances in Å follow each position.
Space group P4/mmm (No. 123)
Inequivalent atoms, fractional coordinates:
Hf1 0.0000 0.5000 0.0000 (multiplicity 2)  2 Sn 2.61
Zr1 0.0000 0.0000 0.5000 (multiplicity 1)  2 Sn 2.64
Zn1 0.5000 0.5000 0.5000 (multiplicity 1)  4 Zr 3.70, 8 Hf 3.71
Sn1 0.0000 0.0000 0.0000 (multiplicity 1)  4 Hf 2.61, 2 Zr 2.64

Calculated values
Uncorrected energy (eV for the cell shown): -28.45

(2)
Computed, not measured: an optimized crystal structure of HfZrSn2 at the PBE level of DFT.

Cell: 3.2281 3.2281 8.5471 Å, 90.00 90.00 90.00°
Closest atoms and distances in Å follow each position.
Space group P4/mmm (No. 123)
Inequivalent atoms, fractional coordinates:
Hf1 0.0000 0.0000 0.0000 (multiplicity 1)  8 Sn 3.12, 4 Hf 3.23
Zr1 0.0000 0.0000 0.5000 (multiplicity 1)  8 Sn 3.14, 4 Zr 3.23
Sn1 0.5000 0.5000 0.2485 (multiplicity 2)  4 Hf 3.12, 4 Zr 3.14, 4 Sn 3.23

Calculated values
Uncorrected energy (eV for the cell shown): -27.79

(3)
Computed, not measured: an optimized crystal structure of Hf3ZrSn at the PBE level of DFT.

Cell: 5.3099 5.3099 20.5255 Å, 90.00 90.00 90.00°
Closest atoms and distances in Å follow each position.
Space group I-4m2 (No. 119)
Inequivalent atoms, fractional coordinates:
Hf1 0.0000 0.0000 0.1757 (multiplicity 4)  2 Sn 3.06, 4 Hf 3.15, 2 Zr 3.42
Hf2 0.0000 0.2499 0.3749 (multiplicity 8)  2 Hf 2.65-2.66, 2 Sn 2.89
Zr1 0.0000 0.5000 0.5709 (multiplicity 4)  2 Sn 3.03, 4 Hf 3.17
Sn1 0.0000 0.0000 0.5000 (multiplicity 2)  4 Hf 2.89, 4 Zr 3.03
Sn2 0.0000 0.5000 0.2500 (multiplicity 2)  8 Hf 2.89-3.06

Calculated values
Uncorrected energy (eV for the cell shown): -156.35

(4)
Computed, not measured: an optimized crystal structure of HfZr4Sn at the PBE level of DFT.

Cell: 4.8254 4.8254 6.7586 Å, 90.00 90.00 90.00°
Closest atoms and distances in Å follow each position.
Space group P4/mmm (No. 123)
Inequivalent atoms, fractional coordinates:
Hf1 0.0000 0.0000 0.0000 (multiplicity 1)  8 Zr 2.89
Zr1 0.0000 0.5000 0.2345 (multiplicity 4)  2 Hf 2.89, 2 Sn 3.01, 1 Zr 3.17
Sn1 0.5000 0.5000 0.5000 (multiplicity 1)  8 Zr 3.01

Calculated values
Uncorrected energy (eV for the cell shown): -45.96

(5)
Computed, not measured: an optimized crystal structure of HfZr3Sn2 at the PBE level of DFT.

Cell: 4.1409 4.1409 8.0448 Å, 90.00 90.00 90.00°
Closest atoms and distances in Å follow each position.
Space group P-4m2 (No. 115)
Inequivalent atoms, fractional coordinates:
Hf1 0.0000 0.0000 0.0000 (multiplicity 1)  4 Zr 2.93, 4 Sn 3.04
Zr1 0.0000 0.5000 0.3553 (multiplicity 2)  5 Sn 2.96-3.00
Zr2 0.5000 0.5000 0.0000 (multiplicity 1)  4 Hf 2.93, 4 Sn 3.04
Sn1 0.0000 0.5000 0.7234 (multiplicity 2)  7 Zr 2.96-3.04, 2 Hf 3.04

Calculated values
Uncorrected energy (eV for the cell shown): -46.19

(6)
Computed, not measured: an optimized crystal structure of HfZr2Sn at the PBE level of DFT.

Cell: 3.2694 3.2694 30.0718 Å, 90.00 90.00 120.00°
Closest atoms and distances in Å follow each position.
Space group R3m (No. 160, hexagonal axes)
Inequivalent atoms, fractional coordinates:
Hf1 0.0000 0.0000 0.0000 (multiplicity 3)  6 Zr 3.13-3.14, 6 Hf 3.27
Zr1 0.0000 0.0000 0.2500 (multiplicity 3)  3 Hf 3.14, 3 Sn 3.14, 6 Zr 3.27
Zr2 0.0000 0.0000 0.4162 (multiplicity 3)  3 Hf 3.13, 3 Sn 3.15, 6 Zr 3.27
Sn1 0.0000 0.0000 0.8332 (multiplicity 3)  6 Zr 3.14-3.15, 6 Sn 3.27

Calculated values
Uncorrected energy (eV for the cell shown): -94.95

(7)
Computed, not measured: an optimized crystal structure of HfZr2Sn at the PBE level of DFT.

Cell: 3.1514 5.7721 10.4056 Å, 98.25 94.85 101.37°
Closest atoms and distances in Å follow each position.
Space group P-1 (No. 2)
Inequivalent atoms, fractional coordinates:
Hf1 0.0428 0.4098 0.1304 (multiplicity 2)  6 Zr 2.97-3.20, 2 Sn 3.05-3.25, 3 Hf 3.05-3.15
Zr1 0.0588 0.2784 0.6054 (multiplicity 2)  4 Sn 3.04-3.07, 1 Hf 3.14, 3 Zr 3.15-3.26
Zr2 0.3496 0.1354 0.8864 (multiplicity 2)  5 Hf 2.97-3.20, 1 Sn 3.06, 4 Zr 3.15-3.26
Sn1 0.4617 0.1988 0.3482 (multiplicity 2)  5 Zr 3.04-3.07, 2 Hf 3.05-3.25, 2 Sn 3.15

Calculated values
Uncorrected energy (eV for the cell shown): -63.99

(8)
Computed, not measured: an optimized crystal structure of Hf3Zr2Sn at the PBE level of DFT.

Cell: 4.3735 14.1115 4.3421 Å, 90.00 90.00 90.00°
Closest atoms and distances in Å follow each position.
Space group Cmmm (No. 65)
Inequivalent atoms, fractional coordinates:
Hf1 0.0000 0.0000 0.0000 (multiplicity 2)  4 Sn 3.08, 4 Zr 3.22, 4 Hf 3.22
Hf2 0.0000 0.3323 0.0000 (multiplicity 4)  6 Zr 3.08-3.17, 4 Hf 3.19-3.22, 2 Sn 3.21
Zr1 0.0000 0.1682 0.5000 (multiplicity 4)  8 Hf 3.08-3.22, 2 Zr 3.18, 2 Sn 3.23
Sn1 0.0000 0.5000 0.5000 (multiplicity 2)  8 Hf 3.08-3.21, 4 Zr 3.23

Calculated values
Uncorrected energy (eV for the cell shown): -104.13